The following is a PBE calculation of an optimized crystal structure of MnGa2I6Br2, from Alexandria.

Unit cell a=7.3014 b=7.3014 c=10.4491 alpha=90.00 beta=90.00 gamma=120.00
Fractional coordinates of all 11 atoms:
I 0.3242 0.3203 0.8353
Ga 0.3333 0.6667 0.7553
Br 0.3333 0.6667 0.5345
I 0.9961 0.6758 0.8353
Mn 0.0000 0.0000 0.0000
I 0.3203 0.9961 0.1647
I 0.0039 0.3242 0.1647
I 0.6758 0.6797 0.1647
Ga 0.6667 0.3333 0.2447
Br 0.6667 0.3333 0.4655
I 0.6797 0.0039 0.8353

Total energy   -3.045 eV per atom
Uncorrected formation energy   -512 meV per atom

***

The following is a PBE calculation of an optimized crystal structure of GaI2BrN, from Alexandria.

Unit cell a=6.7725 b=6.7725 c=3.7155 alpha=90.00 beta=90.00 gamma=90.00
Fractional coordinates of all 5 atoms:
N 0.0000 0.0000 0.5000
I 0.0000 0.5000 0.0000
Br 0.0000 0.0000 0.0000
Ga 0.5000 0.5000 0.5000
I 0.5000 0.0000 0.0000

Total energy   -2.274 eV per atom
Uncorrected formation energy   951 meV per atom
Relative energy among the computed polymorphs   0.378 eV per atom

***

The following is a PBE calculation of an optimized crystal structure of GaI2BrN, from Alexandria.

Unit cell a=7.0188 b=7.0188 c=3.3307 alpha=90.00 beta=90.00 gamma=90.00
Fractional coordinates of all 5 atoms:
I 0.5000 0.0000 0.0000
I 0.0000 0.5000 0.0000
Br 0.5000 0.5000 0.5000
Ga 0.0000 0.0000 0.0000
N 0.0000 0.0000 0.5000

Total energy   -2.652 eV per atom
Uncorrected formation energy   573 meV per atom
Relative energy among the computed polymorphs   0.000 eV per atom

***

How do the records compare in magnetic moment? In the order shown, they have 4.997, 0.000, 1.352 μB per formula unit.